(1)
Entry from the Alexandria database: Hg5Mo2O12 after structural relaxation (PBE with a Hubbard U).

a = 6.027 Å, b = 6.535 Å, c = 8.795 Å
α = 104.55°, β = 90.00°, γ = 117.46°
Atoms (fractional coordinates):
1 O 0.403 0.301 0.155
2 O 0.056 0.112 0.892
3 O 0.628 0.728 0.456
4 O 0.450 0.900 0.116
5 O 0.597 0.699 0.845
6 O 0.897 0.301 0.155
7 O 0.550 0.100 0.884
8 O 0.103 0.699 0.845
9 O 0.372 0.272 0.544
10 O 0.900 0.272 0.544
11 O 0.100 0.728 0.456
12 O 0.944 0.888 0.108
13 Mo 0.756 0.000 0.000
14 Mo 0.244 0.000 0.000
15 Hg 0.304 0.608 0.251
16 Hg 0.687 0.373 0.372
17 Hg 0.000 0.000 0.500
18 Hg 0.696 0.392 0.749
19 Hg 0.313 0.627 0.628

- final energy (eV per formula unit) = -87.18
- SG = C2/m (12)
- V (Å³/atom) = 15.52
- total magnetic moment (μB per cell) = 0.00

(2)
Entry from the Alexandria database: Hg2Mo5O16 after structural relaxation (PBE with a Hubbard U).

a = 5.616 Å, b = 9.431 Å, c = 14.519 Å
α = 70.96°, β = 90.00°, γ = 90.00°
Atoms (fractional coordinates):
1 Mo 0.716 0.231 0.571
2 Mo 0.716 0.769 0.929
3 Mo 0.825 0.872 0.587
4 Mo 0.284 0.769 0.429
5 Mo 0.175 0.128 0.413
6 Mo 0.369 0.000 0.750
7 Mo 0.175 0.872 0.087
8 Mo 0.825 0.128 0.913
9 Mo 0.631 0.000 0.250
10 Mo 0.284 0.231 0.071
11 O 0.327 0.012 0.345
12 O 0.145 0.304 0.328
13 O 0.900 0.880 0.999
14 O 0.051 0.721 0.366
15 O 0.175 0.061 0.824
16 O 0.673 0.012 0.845
17 O 0.454 0.210 0.666
18 O 0.673 0.988 0.655
19 O 0.949 0.279 0.634
20 O 0.100 0.880 0.499
21 O 0.855 0.304 0.828
22 O 0.145 0.696 0.172
23 O 0.338 0.600 0.521
24 O 0.825 0.939 0.176
25 O 0.546 0.790 0.334
26 O 0.100 0.120 0.001
27 O 0.596 0.153 0.988
28 O 0.949 0.721 0.866
29 O 0.404 0.153 0.488
30 O 0.051 0.279 0.134
31 O 0.900 0.120 0.501
32 O 0.454 0.790 0.834
33 O 0.404 0.847 0.012
34 O 0.327 0.988 0.155
35 O 0.546 0.210 0.166
36 O 0.662 0.400 0.479
37 O 0.662 0.600 0.021
38 O 0.855 0.696 0.672
39 O 0.825 0.061 0.324
40 O 0.338 0.400 0.979
41 O 0.175 0.939 0.676
42 O 0.596 0.847 0.512
43 Hg 0.738 0.410 0.199
44 Hg 0.262 0.590 0.801
45 Hg 0.262 0.410 0.699
46 Hg 0.738 0.590 0.301

- final energy (eV per formula unit) = -146.82
- SG = P2/c (13)
- V (Å³/atom) = 15.80
- total magnetic moment (μB per cell) = 0.00

(3)
Entry from the Alexandria database: Hg2MoO4 after structural relaxation (PBE with a Hubbard U).

a = 9.473 Å, b = 5.291 Å, c = 11.254 Å
α = 80.33°, β = 90.00°, γ = 90.00°
Atoms (fractional coordinates):
1 O 0.204 0.830 0.713
2 O 0.523 0.904 0.643
3 O 0.477 0.096 0.357
4 O 0.987 0.787 0.410
5 O 0.704 0.170 0.787
6 O 0.013 0.213 0.590
7 O 0.296 0.830 0.213
8 O 0.598 0.713 0.214
9 O 0.098 0.287 0.286
10 O 0.513 0.787 0.910
11 O 0.023 0.096 0.857
12 O 0.977 0.904 0.143
13 O 0.902 0.713 0.714
14 O 0.487 0.213 0.090
15 O 0.796 0.170 0.287
16 O 0.402 0.287 0.786
17 Mo 0.033 0.967 0.717
18 Mo 0.533 0.033 0.783
19 Mo 0.967 0.033 0.283
20 Mo 0.467 0.967 0.217
21 Hg 0.207 0.451 0.425
22 Hg 0.369 0.669 0.564
23 Hg 0.793 0.549 0.575
24 Hg 0.293 0.451 0.925
25 Hg 0.131 0.669 0.064
26 Hg 0.869 0.331 0.936
27 Hg 0.631 0.331 0.436
28 Hg 0.707 0.549 0.075

- SG = P2_1/c (14)
- V (Å³/atom) = 19.86
- relative energy among the computed polymorphs (meV per atom) = 0
- total magnetic moment (μB per cell) = 0.00

(4)
Entry from the Alexandria database: HgMoO2 after structural relaxation (PBE with a Hubbard U).

a = 7.811 Å, b = 7.811 Å, c = 7.811 Å
α = 23.33°, β = 23.33°, γ = 23.33°
Atoms (fractional coordinates):
1 Mo 0.500 0.500 0.500
2 O 0.121 0.121 0.121
3 O 0.879 0.879 0.879
4 Hg 0.000 0.000 0.000

- final energy (eV per formula unit) = -21.70
- SG = R-3m (166)
- V (Å³/atom) = 16.40
- total magnetic moment (μB per cell) = 2.24

(5)
Entry from the Alexandria database: HgMo2O6 after structural relaxation (PBE with a Hubbard U).

a = 3.775 Å, b = 5.244 Å, c = 10.517 Å
α = 67.40°, β = 79.66°, γ = 68.90°
Atoms (fractional coordinates):
1 Mo 0.158 0.786 0.898
2 Mo 0.842 0.214 0.102
3 Hg 0.000 0.500 0.500
4 O 0.015 0.838 0.133
5 O 0.249 0.766 0.737
6 O 0.317 0.323 0.043
7 O 0.985 0.162 0.867
8 O 0.683 0.677 0.957
9 O 0.751 0.234 0.263

- SG = C2/m (12)
- V (Å³/atom) = 19.91
- relative energy among the computed polymorphs (meV per atom) = 0
- total magnetic moment (μB per cell) = 0.00

(6)
Entry from the Alexandria database: Hg2MoO5 after structural relaxation (PBE with a Hubbard U).

a = 3.862 Å, b = 7.574 Å, c = 17.571 Å
α = 90.00°, β = 90.00°, γ = 90.00°
Atoms (fractional coordinates):
1 O 0.250 0.749 0.426
2 O 0.750 0.750 0.527
3 O 0.750 0.447 0.138
4 O 0.250 0.250 0.473
5 O 0.250 0.451 0.637
6 O 0.750 0.250 0.973
7 O 0.250 0.053 0.638
8 O 0.250 0.951 0.863
9 O 0.750 0.752 0.697
10 O 0.750 0.751 0.926
11 O 0.250 0.249 0.074
12 O 0.750 0.252 0.803
13 O 0.250 0.748 0.197
14 O 0.250 0.553 0.862
15 O 0.250 0.248 0.303
16 O 0.250 0.750 0.027
17 O 0.750 0.549 0.363
18 O 0.750 0.049 0.137
19 O 0.750 0.947 0.362
20 O 0.750 0.251 0.574
21 Mo 0.750 0.249 0.079
22 Mo 0.250 0.251 0.579
23 Mo 0.750 0.749 0.421
24 Mo 0.250 0.751 0.921
25 Hg 0.250 0.498 0.250
26 Hg 0.750 0.502 0.750
27 Hg 0.750 0.248 0.394
28 Hg 0.750 0.002 0.750
29 Hg 0.250 0.252 0.894
30 Hg 0.250 0.752 0.606
31 Hg 0.250 0.998 0.250
32 Hg 0.750 0.748 0.106

- final energy (eV per formula unit) = -39.83
- SG = Pnma (62)
- V (Å³/atom) = 16.06
- total magnetic moment (μB per cell) = 0.00

(7)
Entry from the Alexandria database: HgMoPO6 after structural relaxation (PBE with a Hubbard U).

a = 5.044 Å, b = 5.044 Å, c = 4.945 Å
α = 90.06°, β = 89.88°, γ = 60.02°
Atoms (fractional coordinates):
1 O 0.039 0.364 0.299
2 O 0.597 0.365 0.701
3 O 0.363 0.039 0.701
4 O 0.038 0.598 0.701
5 O 0.365 0.597 0.299
6 O 0.598 0.038 0.299
7 Hg 0.000 0.000 0.000
8 P 0.333 0.333 0.500
9 Mo 0.667 0.667 0.500

- final energy (eV per formula unit) = -54.98
- SG = C2 (5)
- V (Å³/atom) = 12.11
- total magnetic moment (μB per cell) = 1.00

(8)
Entry from the Alexandria database: HgMoP2O8 after structural relaxation (PBE with a Hubbard U).

a = 5.023 Å, b = 5.023 Å, c = 7.656 Å
α = 96.83°, β = 96.83°, γ = 65.75°
Atoms (fractional coordinates):
1 O 0.221 0.221 0.933
2 O 0.669 0.203 0.807
3 O 0.797 0.331 0.193
4 O 0.760 0.760 0.404
5 O 0.331 0.797 0.193
6 O 0.779 0.779 0.067
7 O 0.240 0.240 0.596
8 O 0.203 0.669 0.807
9 Hg 0.000 0.000 0.500
10 Mo 0.000 0.000 0.000
11 P 0.670 0.670 0.213
12 P 0.330 0.330 0.787

- final energy (eV per formula unit) = -79.61
- SG = C2/m (12)
- V (Å³/atom) = 14.53
- total magnetic moment (μB per cell) = 2.00

(9)
Entry from the Alexandria database: PaHg2MoO8 after structural relaxation (PBE with a Hubbard U).

a = 6.035 Å, b = 6.035 Å, c = 6.035 Å
α = 113.15°, β = 113.15°, γ = 102.34°
Atoms (fractional coordinates):
1 O 0.279 0.077 0.797
2 O 0.003 0.328 0.326
3 O 0.672 0.997 0.674
4 O 0.279 0.482 0.203
5 O 0.518 0.721 0.797
6 O 0.323 0.997 0.326
7 O 0.003 0.677 0.674
8 O 0.923 0.721 0.203
9 Hg 0.500 0.500 0.000
10 Hg 0.750 0.250 0.500
11 Pa 0.000 0.000 0.000
12 Mo 0.250 0.750 0.500

- final energy (eV per formula unit) = -73.13
- SG = I-4m2 (119)
- V (Å³/atom) = 13.94
- total magnetic moment (μB per cell) = 0.00

(10)
Entry from the Alexandria database: PaHgMoO6 after structural relaxation (PBE with a Hubbard U).

a = 8.144 Å, b = 7.389 Å, c = 7.806 Å
α = 118.24°, β = 121.44°, γ = 90.00°
Atoms (fractional coordinates):
1 O 0.787 0.061 0.235
2 O 0.450 0.700 0.901
3 O 0.550 0.300 0.099
4 O 0.448 0.673 0.235
5 O 0.448 0.061 0.235
6 O 0.832 0.082 0.663
7 O 0.552 0.327 0.765
8 O 0.552 0.939 0.765
9 O 0.168 0.918 0.337
10 O 0.213 0.327 0.765
11 O 0.787 0.673 0.235
12 O 0.213 0.939 0.765
13 Mo 0.500 0.000 0.000
14 Mo 0.500 0.500 0.000
15 Pa 0.000 0.000 0.500
16 Pa 0.500 0.000 0.500
17 Hg 0.043 0.293 0.086
18 Hg 0.957 0.707 0.914

- final energy (eV per formula unit) = -64.31
- SG = Imma (74)
- V (Å³/atom) = 18.53
- total magnetic moment (μB per cell) = 0.00

(11)
Entry from the Alexandria database: Hg2MoPb2O6 after structural relaxation (PBE with a Hubbard U).

a = 6.087 Å, b = 6.087 Å, c = 8.401 Å
α = 105.28°, β = 105.28°, γ = 122.23°
Atoms (fractional coordinates):
1 Pb 0.664 0.336 0.500
2 Pb 0.336 0.664 0.500
3 O 0.609 0.878 0.341
4 O 0.122 0.391 0.659
5 O 0.878 0.609 0.341
6 O 0.833 0.833 0.648
7 O 0.167 0.167 0.352
8 O 0.391 0.122 0.659
9 Hg 0.279 0.721 0.000
10 Hg 0.721 0.279 0.000
11 Mo 0.000 0.000 0.500

- final energy (eV per formula unit) = -54.73
- SG = C2/m (12)
- V (Å³/atom) = 20.06
- total magnetic moment (μB per cell) = 0.00

(12)
Entry from the Alexandria database: HgMo2PbO8 after structural relaxation (PBE with a Hubbard U).

a = 6.399 Å, b = 6.399 Å, c = 6.399 Å
α = 107.28°, β = 107.28°, γ = 113.95°
Atoms (fractional coordinates):
1 Pb 0.000 0.000 0.000
2 Hg 0.250 0.750 0.500
3 Mo 0.500 0.500 0.000
4 Mo 0.750 0.250 0.500
5 O 0.406 0.093 0.313
6 O 0.467 0.657 0.810
7 O 0.907 0.220 0.313
8 O 0.343 0.533 0.190
9 O 0.343 0.154 0.810
10 O 0.907 0.594 0.687
11 O 0.780 0.093 0.687
12 O 0.846 0.657 0.190

- final energy (eV per formula unit) = -73.32
- SG = I-4m2 (119)
- V (Å³/atom) = 16.73
- total magnetic moment (μB per cell) = 0.00